No. 1
The following is a GGA-PBE calculation of a relaxed structure of BaSbSe2F, from Alexandria via LeMat-Bulk.

a = 6.286 Å, b = 6.360 Å, c = 14.767 Å
α = 91.07°, β = 89.92°, γ = 89.98°
Positions (direct):
Sb (0.220, 0.980, 0.863)
Sb (0.780, 0.020, 0.137)
Sb (0.720, 0.552, 0.862)
Sb (0.280, 0.448, 0.138)
F (0.000, 0.749, 0.499)
F (0.500, 0.751, 0.499)
F (0.500, 0.249, 0.501)
F (0.000, 0.251, 0.501)
Se (0.250, 0.007, 0.691)
Se (0.297, 0.572, 0.880)
Se (0.250, 0.490, 0.309)
Se (0.796, 0.962, 0.880)
Se (0.204, 0.038, 0.120)
Se (0.703, 0.428, 0.120)
Se (0.750, 0.510, 0.691)
Se (0.750, 0.993, 0.309)
Ba (0.251, 0.506, 0.604)
Ba (0.751, 0.003, 0.604)
Ba (0.249, 0.997, 0.396)
Ba (0.749, 0.494, 0.396)

Results
**Raw formation energy**: -1.72 eV/atom
**SG**: P-1, No. 2


No. 2
The following is a GGA-PBE calculation of a relaxed structure of YAlFe, from Alexandria via LeMat-Bulk.

a = 4.321 Å, b = 4.321 Å, c = 3.687 Å
α = 90.00°, β = 90.00°, γ = 120.00°
Each line ends with the local moment (μB).
Positions (direct):
Fe (0.333, 0.667, 0.167)  2.10
Al (0.000, 0.000, 0.167)  -0.03
Y (0.667, 0.333, 0.667)  -0.17

Results
**ΔH_f (0 K)**: -0.11 eV/atom
**Fermi-level density of states**: 1.643 states/eV per atom
**SG**: P-6m2, No. 187


No. 3
The following is a GGA-PBE calculation of a relaxed structure of SmSc7, from Alexandria via LeMat-Bulk.

a = 3.277 Å, b = 8.123 Å, c = 8.123 Å
α = 78.64°, β = 78.36°, γ = 78.36°
Positions (direct):
Sc (0.254, 0.247, 0.247)
Sc (0.366, 0.864, 0.405)
Sc (0.634, 0.136, 0.595)
Sc (0.000, 0.500, 0.500)
Sc (0.746, 0.753, 0.753)
Sc (0.634, 0.595, 0.136)
Sc (0.366, 0.405, 0.864)
Sm (0.000, 0.000, 0.000)

Results
**ΔH_f (0 K)**: 0.03 eV/atom
**Relative energy among the computed polymorphs**: 0.00 eV/f.u.
**Fermi-level density of states**: 1.799 states/eV per atom
**SG**: Immm, No. 71


No. 4
The following is a GGA-PBE calculation of a relaxed structure of LaAl3, from Alexandria via LeMat-Bulk.

a = 3.225 Å, b = 3.225 Å, c = 9.715 Å
α = 90.00°, β = 90.00°, γ = 120.00°
Positions (direct):
Al (0.000, 0.000, 0.034)
Al (0.667, 0.333, 0.250)
Al (0.000, 0.000, 0.466)
La (0.667, 0.333, 0.750)

Results
**ΔH_f (0 K)**: 0.05 eV/atom
**Fermi-level density of states**: 0.609 states/eV per atom
**SG**: P-6m2, No. 187


No. 5
The following is a GGA-PBE calculation of a relaxed structure of UReB2, from Alexandria via LeMat-Bulk.

a = 3.841 Å, b = 5.661 Å, c = 9.452 Å
α = 90.00°, β = 90.00°, γ = 90.00°
Positions (direct):
Re (0.750, 0.362, 0.073)
Re (0.250, 0.138, 0.573)
Re (0.750, 0.862, 0.427)
Re (0.250, 0.638, 0.927)
U (0.750, 0.368, 0.368)
U (0.250, 0.632, 0.632)
U (0.750, 0.868, 0.132)
U (0.250, 0.132, 0.868)
B (0.750, 0.485, 0.832)
B (0.250, 0.015, 0.332)
B (0.750, 0.801, 0.823)
B (0.750, 0.985, 0.668)
B (0.750, 0.301, 0.677)
B (0.250, 0.699, 0.323)
B (0.250, 0.515, 0.168)
B (0.250, 0.199, 0.177)

Results
**ΔH_f (0 K)**: -0.25 eV/atom
**Relative energy among the computed polymorphs**: 0.00 eV/f.u.
**Fermi-level density of states**: 1.184 states/eV per atom
**SG**: Pnma, No. 62


No. 6
The following is a GGA-PBE calculation of a relaxed structure of CeZn11Si, from Alexandria via LeMat-Bulk.

a = 5.213 Å, b = 6.827 Å, c = 6.910 Å
α = 81.39°, β = 67.84°, γ = 66.61°
Each line ends with the local moment (μB).
Positions (direct):
Zn (0.279, 0.216, 0.218)  0.00
Zn (0.999, 0.645, 0.357)  0.01
Zn (0.355, 0.645, 0.643)  0.01
Zn (0.721, 0.784, 0.782)  0.00
Zn (0.001, 0.355, 0.643)  0.01
Zn (0.503, 0.784, 0.218)  0.00
Zn (0.645, 0.355, 0.357)  0.01
Zn (0.497, 0.216, 0.782)  0.00
Zn (0.000, 0.000, 0.500)  0.00
Zn (0.000, 0.500, 0.000)  0.01
Zn (0.500, 0.000, 0.500)  0.00
Ce (0.000, 0.000, 0.000)  0.65
Si (0.500, 0.500, 0.000)  0.00

Results
**Raw formation energy**: -0.12 eV/atom
**Fermi-level density of states**: 0.647 states/eV per atom
**SG**: C2/m, No. 12


No. 7
The following is a GGA-PBE calculation of a relaxed structure of Tm8Tl5Pb, from Alexandria via LeMat-Bulk.

a = 8.000 Å, b = 8.000 Å, c = 8.000 Å
α = 109.54°, β = 109.34°, γ = 109.54°
Positions (direct):
Tl (0.878, 0.875, 0.251)
Tl (0.997, 0.373, 0.122)
Tl (0.500, 0.000, 0.500)
Tl (0.376, 0.125, 0.003)
Tl (0.749, 0.627, 0.624)
Tm (0.125, 0.747, 0.520)
Tm (0.981, 0.100, 0.727)
Tm (0.622, 0.394, 0.875)
Tm (0.627, 0.900, 0.880)
Tm (0.273, 0.253, 0.373)
Tm (0.480, 0.606, 0.227)
Tm (0.120, 0.747, 0.019)
Tm (0.773, 0.253, 0.378)
Pb (0.250, 0.500, 0.750)

Results
**ΔH_f (0 K)**: -0.26 eV/atom
**Fermi-level density of states**: 1.063 states/eV per atom
**SG**: I-4, No. 82


No. 8
The following is a GGA-PBE calculation of a relaxed structure of Hg6SbI2, from Alexandria via LeMat-Bulk.

a = 5.712 Å, b = 5.712 Å, c = 8.868 Å
α = 90.00°, β = 90.00°, γ = 90.00°
Positions (direct):
Hg (0.500, 0.000, 0.500)
Hg (0.000, 0.500, 0.500)
Hg (0.000, 0.000, 0.331)
Hg (0.500, 0.000, 0.000)
Hg (0.000, 0.500, 0.000)
Hg (0.000, 0.000, 0.669)
I (0.500, 0.500, 0.765)
I (0.500, 0.500, 0.235)
Sb (0.000, 0.000, 0.000)

Results
**Raw formation energy**: -0.06 eV/atom
**Fermi-level density of states**: 0.340 states/eV per atom
**SG**: P4/mmm, No. 123


No. 9
The following is a GGA-PBE calculation of a relaxed structure of HfMn2SnRh, from Alexandria via LeMat-Bulk.

a = 4.471 Å, b = 4.881 Å, c = 4.471 Å
α = 90.00°, β = 90.00°, γ = 90.00°
Positions (direct):
Sn (0.000, 0.500, 0.000)
Mn (0.000, 0.000, 0.500)
Mn (0.500, 0.000, 0.000)
Hf (0.500, 0.500, 0.500)
Rh (0.000, 0.000, 0.000)

Results
**ΔH_f (0 K)**: 1.09 eV/atom
**Fermi-level density of states**: 1.923 states/eV per atom
**SG**: P4/mmm, No. 123


No. 10
The following is a GGA-PBE calculation of a relaxed structure of CoSb2TeH, from Alexandria via LeMat-Bulk.

a = 5.821 Å, b = 3.553 Å, c = 5.821 Å
α = 90.00°, β = 90.00°, γ = 90.00°
Each line ends with the local moment (μB).
Positions (direct):
H (0.000, 0.500, 0.000)  0.00
Co (0.500, 0.500, 0.500)  1.92
Te (0.000, 0.000, 0.000)  0.00
Sb (0.000, 0.000, 0.500)  -0.03
Sb (0.500, 0.000, 0.000)  -0.03

Results
**Relative energy among the computed polymorphs**: 3.35 eV/f.u.
**Fermi-level density of states**: 0.809 states/eV per atom
**SG**: P4/mmm, No. 123


No. 11
The following is a GGA-PBE calculation of a relaxed structure of FeNi5Ge3, from Alexandria via LeMat-Bulk.

a = 6.013 Å, b = 6.013 Å, c = 7.880 Å
α = 112.43°, β = 112.43°, γ = 90.00°
Each line ends with the local moment (μB).
Positions (direct):
Ge (0.250, 0.250, 0.500)  0.00
Ge (0.636, 0.136, 0.000)  0.00
Ge (0.864, 0.636, 0.000)  0.00
Ge (0.136, 0.364, 0.000)  0.00
Ge (0.750, 0.750, 0.500)  0.00
Ge (0.364, 0.864, 0.000)  0.00
Fe (0.750, 0.250, 0.500)  2.99
Fe (0.250, 0.750, 0.500)  2.99
Ni (0.415, 0.394, 0.308)  0.27
Ni (0.085, 0.585, 0.692)  0.27
Ni (0.106, 0.085, 0.692)  0.27
Ni (0.500, 0.500, 0.000)  -0.03
Ni (0.915, 0.415, 0.308)  0.27
Ni (0.585, 0.606, 0.692)  0.27
Ni (0.394, 0.894, 0.308)  0.27
Ni (0.606, 0.106, 0.692)  0.27
Ni (0.894, 0.915, 0.308)  0.27
Ni (0.000, 0.000, 0.000)  -0.03

Results
**ΔH_f (0 K)**: 0.01 eV/atom
**Fermi-level density of states**: 0.395 states/eV per atom
**SG**: I4/mcm, No. 140


No. 12
The following is a GGA-PBE calculation of a relaxed structure of MgScCoAg, from Alexandria via LeMat-Bulk.

a = 4.575 Å, b = 4.575 Å, c = 4.575 Å
α = 60.00°, β = 60.00°, γ = 60.00°
Each line ends with the local moment (μB).
Positions (direct):
Mg (0.750, 0.750, 0.750)  0.00
Ag (0.500, 0.500, 0.500)  0.00
Co (0.000, 0.000, 0.000)  0.36
Sc (0.250, 0.250, 0.250)  -0.08

Results
**ΔH_f (0 K)**: -0.11 eV/atom
**Fermi-level density of states**: 0.831 states/eV per atom
**SG**: F-43m, No. 216